Density functional theory data (PBE) for crystalline MnFeW2 at its relaxed geometry.

Calculated values
SG	F-43m, No. 216
distance to the lowest polymorph of the same formula	0.29	eV/f.u.
final energy	-42.8	eV/cell
ΔH_f (0 K)	0.17	eV per atom

Geometry as POSCAR:
```
MnFeW2
1.0
-1.257 3.328 -2.394
-4.178 0.821 -0.504
-1.749 3.443 1.865
Mn W Fe
1 2 1
Cartesian
-5.388 5.695 -0.775
-1.796 1.898 -0.258
0.000 0.000 0.000
-3.592 3.796 -0.517
```

Density functional theory data (PBE) for crystalline Mn2FeW at its relaxed geometry.

Calculated values
SG	P4/mmm, No. 123
final energy	-39.5	eV/cell
ΔH_f (0 K)	0.07	eV per atom

Geometry as POSCAR:
```
Mn2FeW
1.0
4.029 0.000 0.000
0.000 4.029 0.000
0.000 0.000 3.076
Mn W Fe
2 1 1
Cartesian
2.015 2.015 0.000
0.000 0.000 0.000
2.015 0.000 1.538
0.000 2.015 1.538
```

Density functional theory data (PBE) for crystalline MnFeW2 at its relaxed geometry.

Calculated values
SG	P4/mmm, No. 123
distance to the lowest polymorph of the same formula	0.21	eV/f.u.
final energy	-42.9	eV/cell
ΔH_f (0 K)	0.15	eV per atom

Geometry as POSCAR:
```
MnFeW2
1.0
4.240 -0.018 0.000
0.018 4.240 0.000
0.000 0.000 3.031
W Fe Mn
2 1 1
Cartesian
2.129 2.111 0.000
0.000 0.000 0.000
2.120 -0.009 1.516
0.009 2.120 1.516
```